(1)
First-principles (GGA-PBE) data for a geometry-optimized TlSe2I8 structure, as listed in the Alexandria database.

```
TlSe2I8
1.0
-6.6041 -3.5902 3.9012
3.0011 -5.0731 6.6765
-1.1078 3.8654 7.9467
Tl I Se
1 8 2
Direct
0.0000 0.0000 0.0000
0.6154 0.2100 0.2100
0.8072 0.1024 0.6600
0.8950 0.6039 0.6039
0.1050 0.3961 0.3961
0.1928 0.8976 0.3400
0.3846 0.7900 0.7900
0.1928 0.3400 0.8976
0.8072 0.6600 0.1024
0.3242 0.1694 0.1694
0.6758 0.8306 0.8306
```

## Properties
Magnetization: 0.000 μB/f.u.
Raw formation energy: -0.7 kcal/mol of atoms
Fermi-level density of states: 0.454 states/eV/atom
ρ: 3.998 g cm⁻³



(2)
First-principles (GGA-PBE) data for a geometry-optimized HoCoB3 structure, as listed in the Alexandria database.

```
HoCoB3
1.0
3.3583 0.0000 -0.4624
0.0000 3.1177 0.0000
-0.3048 0.0000 10.2128
B Ho Co
6 2 2
Direct
0.5148 0.7500 0.0296
0.6544 0.7500 0.3088
0.6881 0.2500 0.3762
0.3119 0.7500 0.6238
0.4852 0.2500 0.9704
0.3456 0.2500 0.6912
0.9154 0.7500 0.8308
0.0846 0.2500 0.1692
0.7879 0.2500 0.5759
0.2121 0.7500 0.4241
```

## Properties
Calculated formation energy: -0.36 eV per atom
Offset from the most stable computed form: 0 meV/atom
Magnetization: 0.000 μB/f.u.
Fermi-level density of states: 0.487 states/eV/atom
ρ: 7.993 g cm⁻³



(3)
First-principles (GGA-PBE) data for a geometry-optimized Fe5As structure, as listed in the Alexandria database.

```
Fe5As
1.0
2.1988 -3.8084 0.0000
2.1988 3.8084 0.0000
0.0000 0.0000 4.2781
Fe As
5 1
Direct
0.0000 0.6626 0.0000
0.3374 0.3374 0.0000
0.6626 0.0000 0.0000
0.3333 0.6667 0.5000
0.6667 0.3333 0.5000
0.0000 0.0000 0.5000
```

## Properties
Calculated formation energy: 0.07 eV per atom
Magnetization: 11.093 μB/f.u.
Fermi-level density of states: 1.194 states/eV/atom
ρ: 8.208 g cm⁻³



(4)
First-principles (GGA-PBE) data for a geometry-optimized CsTbPbSe3 structure, as listed in the Alexandria database.

```
CsTbPbSe3
1.0
4.2238 0.0000 0.0000
-2.1119 8.9450 0.0000
0.0000 0.0000 12.1929
Pb Se Tb Cs
2 6 2 2
Direct
0.5996 0.1992 0.2500
0.4004 0.8008 0.7500
0.9920 0.9840 0.2500
0.3911 0.7821 0.9937
0.3911 0.7821 0.5063
0.6089 0.2179 0.0063
0.6089 0.2179 0.4937
0.0080 0.0160 0.7500
0.0000 0.0000 0.0000
0.0000 0.0000 0.5000
0.6886 0.3771 0.7500
0.3114 0.6229 0.2500
```

## Properties
Magnetization: 0.000 μB/f.u.
Raw formation energy: -28.1 kcal/mol of atoms
ρ: 5.305 g cm⁻³



(5)
First-principles (GGA-PBE) data for a geometry-optimized CaMn2InRu structure, as listed in the Alexandria database.

```
CaMn2InRu
1.0
4.9630 0.0000 0.0000
0.0000 5.5874 0.0000
0.0000 0.0000 4.9630
In Ca Mn Ru
1 1 2 1
Direct
0.0000 0.0000 0.0000
0.0000 0.5000 0.0000
0.0000 0.0000 0.5000
0.5000 0.0000 0.0000
0.5000 0.5000 0.5000
```

## Properties
Calculated formation energy: 1.51 eV per atom
Magnetization: 10.038 μB/f.u.
Fermi-level density of states: 1.804 states/eV/atom
ρ: 4.414 g cm⁻³



(6)
First-principles (GGA-PBE) data for a geometry-optimized Li2ReP structure, as listed in the Alexandria database.

```
Li2ReP
1.0
2.8400 0.0000 0.0000
-1.1556 2.5943 0.0000
0.0000 0.0000 8.5930
Re P Li
1 1 2
Direct
0.5000 0.5000 0.7161
0.0000 0.0000 0.5162
0.5000 0.5000 0.2871
0.0000 0.0000 0.9805
```

## Properties
Calculated formation energy: 0.10 eV per atom
Magnetization: 0.000 μB/f.u.
Fermi-level density of states: 0.773 states/eV/atom
ρ: 6.060 g cm⁻³



(7)
First-principles (GGA-PBE) data for a geometry-optimized LiMnBr2 structure, as listed in the Alexandria database.

```
LiMnBr2
1.0
4.9416 0.0000 0.0000
0.0000 4.9416 0.0000
0.0000 0.0000 3.4233
Br Li Mn
2 1 1
Direct
0.0000 0.0000 0.0000
0.5000 0.5000 0.0000
0.5000 0.0000 0.5000
0.0000 0.5000 0.5000
```

## Properties
Offset from the most stable computed form: 232 meV/atom
Magnetization: 4.393 μB/f.u.
Raw formation energy: -9.6 kcal/mol of atoms
Fermi-level density of states: 0.496 states/eV/atom
ρ: 4.403 g cm⁻³



(8)
First-principles (GGA-PBE) data for a geometry-optimized TcPAu3 structure, as listed in the Alexandria database.

```
TcPAu3
1.0
-0.2003 4.7052 1.6995
-3.0572 -1.4615 3.6858
3.9599 -0.8903 2.9316
Au Tc P
3 1 1
Direct
0.0000 0.0000 0.5000
0.5000 0.0000 0.0000
0.0000 0.5000 0.0000
0.0000 0.0000 0.0000
0.5000 0.5000 0.5000
```

## Properties
Calculated formation energy: 1.61 eV per atom
Offset from the most stable computed form: 781 meV/atom
Magnetization: 2.626 μB/f.u.
Fermi-level density of states: 1.273 states/eV/atom
ρ: 9.524 g cm⁻³



(9)
First-principles (GGA-PBE) data for a geometry-optimized LaPrAgAu structure, as listed in the Alexandria database.

```
LaPrAgAu
1.0
-5.1133 0.4654 1.4895
-1.6283 -2.0718 4.6515
-1.3212 3.2313 4.0489
Pr Ag La Au
1 1 1 1
Direct
0.0000 0.0000 0.0000
0.2500 0.2500 0.2500
0.5000 0.5000 0.5000
0.7500 0.7500 0.7500
```

## Properties
Calculated formation energy: -0.50 eV per atom
Offset from the most stable computed form: 18 meV/atom
Magnetization: 0.001 μB/f.u.
Fermi-level density of states: 0.969 states/eV/atom
ρ: 8.986 g cm⁻³



(10)
First-principles (GGA-PBE) data for a geometry-optimized Sm2ZrNiS5 structure, as listed in the Alexandria database.

```
Sm2ZrNiS5
1.0
3.7639 0.0000 0.0000
-1.8820 8.1874 0.0000
0.0000 0.0000 11.5128
Zr S Sm Ni
2 10 4 2
Direct
0.8218 0.6435 0.5173
0.1782 0.3565 0.0173
0.5020 0.0039 0.2632
0.2998 0.5997 0.6787
0.3069 0.6137 0.3599
0.0275 0.0550 0.0289
0.6562 0.3124 0.5152
0.9725 0.9450 0.5289
0.6931 0.3863 0.8599
0.4980 0.9961 0.7632
0.7002 0.4003 0.1787
0.3438 0.6876 0.0152
0.8822 0.7645 0.8348
0.8840 0.7680 0.1949
0.1178 0.2355 0.3348
0.1160 0.2320 0.6949
0.4342 0.8683 0.4310
0.5658 0.1317 0.9310
```

## Properties
Magnetization: 0.000 μB/f.u.
Raw formation energy: -38.4 kcal/mol of atoms
Fermi-level density of states: 0.146 states/eV/atom
ρ: 5.719 g cm⁻³



(11)
First-principles (GGA-PBE) data for a geometry-optimized Al3NiC structure, as listed in the Alexandria database.

```
Al3NiC
1.0
-1.6466 -3.6045 0.1248
3.1271 -1.4951 -1.9247
1.7969 -0.7009 3.4639
Al C Ni
3 1 1
Direct
0.0000 0.0000 0.5000
0.0000 0.5000 0.0000
0.5000 0.0000 0.0000
0.0000 0.0000 0.0000
0.5000 0.5000 0.5000
```

## Properties
Calculated formation energy: 0.16 eV per atom
Offset from the most stable computed form: 0 meV/atom
Magnetization: 0.000 μB/f.u.
Fermi-level density of states: 0.329 states/eV/atom
ρ: 4.041 g cm⁻³



(12)
First-principles (GGA-PBE) data for a geometry-optimized Cr2FeGe structure, as listed in the Alexandria database.

```
Cr2FeGe
1.0
-0.2305 -3.1553 -2.1656
-1.3363 -1.7988 2.7631
-3.2900 0.9210 -0.9916
Fe Cr Ge
1 2 1
Direct
0.5000 0.5000 0.5000
0.0000 0.5000 0.0000
0.0000 0.0000 0.5000
0.5000 0.0000 0.0000
```

## Properties
Calculated formation energy: 0.08 eV per atom
Magnetization: 2.747 μB/f.u.
Fermi-level density of states: 1.186 states/eV/atom
ρ: 7.956 g cm⁻³



Q: Which value of ρ does entry 2 give?
A: 7.993 g cm⁻³



Q: Which formula does entry 8 have?
A: TcPAu3



Q: Which value of ρ does entry 5 give?
A: 4.414 g cm⁻³